1.
TbAl6Ni | PBE | relaxed

```
8
Lattice="6.2436 0.0000 0.0000 3.1218 5.4071 0.0000 3.1218 1.8024 4.6215" Properties=species:S:1:pos:R:3 pbc="T T T"
Al 3.1218 3.3313 0.9993
Al 8.0413 6.1716 3.6222
Al 9.3654 3.8782 3.6222
Al 1.7977 1.0379 0.9993
Al 4.4459 1.0379 0.9993
Al 10.6895 6.1716 3.6222
Tb 6.2436 3.6047 2.3108
Ni 0.0000 0.0000 0.0000
```

DOS at the Fermi energy ... 4.4 states/eV/f.u.
Crystal system ... trigonal
Energy of formation ... -101 kJ/mol of formula units



2.
PmZrTlCd | PBE | relaxed

```
4
Lattice="5.2331 0.0000 0.0000 2.6166 4.5320 0.0000 2.6166 1.5107 4.2728" Properties=species:S:1:pos:R:3 pbc="T T T"
Cd 7.8497 4.5320 3.2046
Zr 0.0000 0.0000 0.0000
Pm 5.2331 3.0214 2.1364
Tl 2.6166 1.5107 1.0682
```

DOS at the Fermi energy ... 2.9 states/eV/f.u.
Crystal system ... cubic
Energy of formation ... -57 kJ/mol of formula units



3.
Ho4CoTe | PBE | relaxed

```
12
Lattice="-4.9465 -0.8191 -1.3543 4.9934 -8.8368 -2.9353 -2.7064 1.5471 8.9493" Properties=species:S:1:pos:R:3 pbc="T T T"
Ho -0.8205 0.0420 2.9714
Ho -2.0545 -4.6794 0.3758
Ho -3.7860 -1.3100 4.6624
Ho -1.8390 -8.1508 1.6884
Ho -1.7117 -2.0565 7.4960
Ho -0.6050 -3.4294 4.2839
Ho 1.1266 -6.7988 -0.0027
Ho -0.9477 -6.0523 -2.8362
Te -2.7137 -5.5639 3.3185
Te 0.0542 -2.5450 1.3412
Co -1.4020 -7.0767 -0.5573
Co -1.2574 -1.0321 5.2170
```

DOS at the Fermi energy ... 5.4 states/eV/f.u.
Crystal system ... monoclinic
Raw formation energy ... -0.32 eV per atom
Excess energy over the best structure of this formula in the dataset ... 1.37 eV per formula unit